[1]
Density functional theory data (PBE) for a relaxed structure of AcCeRuO6.

a b c (Å): 5.6062 5.6062 10.5489
angles (deg): 90.00 90.00 120.00
Space group P-31c (No. 163)
Unique sites:
Ac  0.0000  0.0000  0.0000 x2
Ce  0.3333  0.6667  0.2500 x2
Ru  0.3333  0.6667  0.7500 x2
O  0.0357  0.3794  0.6438 x12

Computed properties:
The calculation puts the density at 6.5 g cm⁻³. The calculation puts the formation energy from raw total energies at -2.421 eV/atom.

***

[2]
Density functional theory data (PBE) for a relaxed structure of Ac2CeS2O2.

a b c (Å): 4.420 4.420 16.275
angles (deg): 90.00 90.00 90.00
Space group I4/mmm (No. 139)
Unique sites:
Ac  0.000  0.000  0.145 x4
Ce  0.000  0.000  0.500 x2
S  0.000  0.000  0.327 x4
O  0.000  0.500  0.000 x4

Computed properties:
The calculation puts the density at 7.2 g cm⁻³. The value obtained for the density of states at the Fermi level is 7.3 states/eV/f.u. The calculation puts the formation energy from raw total energies at -2.443 eV/atom.

***

[3]
Density functional theory data (PBE) for a relaxed structure of AcCeSbO5.

a b c (Å): 8.294 9.689 8.179
angles (deg): 90.00 116.28 90.00
Space group C2/c (No. 15)
Unique sites:
Ac  0.000  0.066  0.250 x4
Ce  0.250  0.250  0.000 x4
Sb  0.000  0.456  0.250 x4
O  0.000  0.193  0.750 x4
O  0.059  0.306  0.120 x8
O  0.206  0.024  0.064 x8

Computed properties:
The calculation puts the density at 6.4 g cm⁻³. The calculation puts the formation energy from raw total energies at -2.648 eV/atom.

***

[4]
Density functional theory data (PBE) for a relaxed structure of AcCeSb2O8.

a b c (Å): 7.653 7.653 7.054
angles (deg): 90.00 90.00 90.00
Space group I-4m2 (No. 119)
Unique sites:
Ac  0.000  0.000  0.000 x2
Ce  0.000  0.500  0.250 x2
Sb  0.000  0.000  0.500 x2
Sb  0.000  0.500  0.750 x2
O  0.000  0.192  0.320 x8
O  0.000  0.321  0.937 x8

Computed properties:
The calculation puts the density at 5.9 g cm⁻³. The value obtained for the density of states at the Fermi level is 6.5 states/eV/f.u. The calculation puts the formation energy from raw total energies at -2.212 eV/atom.

***

[5]
Density functional theory data (PBE) for a relaxed structure of AcCe2SbO8.

a b c (Å): 7.219 7.321 7.211
angles (deg): 90.00 90.00 90.00
Space group Cmmm (No. 65)
Unique sites:
Ac  0.000  0.000  0.000 x2
Ce  0.000  0.500  0.259 x4
Sb  0.000  0.000  0.500 x2
O  0.000  0.284  0.500 x4
O  0.000  0.328  0.000 x4
O  0.190  0.000  0.294 x8

Computed properties:
The calculation puts the density at 6.6 g cm⁻³. The value obtained for the density of states at the Fermi level is 0.0 states/eV/f.u. The calculation puts the formation energy from raw total energies at -2.771 eV/atom.

***

[6]
Density functional theory data (PBE) for a relaxed structure of Ac2CeScO6.

a b c (Å): 5.998 6.178 10.457
angles (deg): 90.00 124.56 90.00
Space group P2_1/c (No. 14)
Unique sites:
Ac  0.237  0.048  0.251 x4
Ce  0.500  0.000  0.000 x2
Sc  0.000  0.000  0.500 x2
O  0.124  0.213  0.936 x4
O  0.230  0.689  0.943 x4
O  0.349  0.048  0.736 x4

Computed properties:
The calculation puts the density at 7.6 g cm⁻³. The value obtained for the density of states at the Fermi level is 2.3 states/eV/f.u. The calculation puts the formation energy from raw total energies at -3.353 eV/atom.

***

[7]
Density functional theory data (PBE) for a relaxed structure of AcCe2SeO4.

a b c (Å): 4.006 4.006 9.275
angles (deg): 90.00 90.00 90.00
Space group P4/mmm (No. 123)
Unique sites:
Ac  0.000  0.000  0.000 x1
Ce  0.500  0.500  0.289 x2
Se  0.000  0.000  0.500 x1
O  0.000  0.500  0.173 x4

Computed properties:
The calculation puts the density at 7.3 g cm⁻³. The value obtained for the density of states at the Fermi level is 8.1 states/eV/f.u. The calculation puts the formation energy from raw total energies at -3.146 eV/atom.

***

[8]
Density functional theory data (PBE) for a relaxed structure of Ac2Ce2Se2O5.

a b c (Å): 4.332 4.332 26.031
angles (deg): 90.00 90.00 90.00
Space group I4/mmm (No. 139)
Unique sites:
Ac  0.000  0.000  0.169 x4
Ce  0.000  0.000  0.419 x4
Se  0.000  0.000  0.295 x4
O  0.000  0.000  0.500 x2
O  0.000  0.500  0.107 x8

Computed properties:
The calculation puts the density at 6.6 g cm⁻³. The calculation puts the formation energy from raw total energies at -3.022 eV/atom.